# Hg2Pb5F12 PBE-GGA relaxed
# - formation energy from raw total energies (meV/atom) = -2038
# - E_tot (eV per cell) = -80.321
# - symmetry = C2/m, No. 12
data_Hg2Pb5F12
_chemical_formula_sum 'Hg2 Pb5 F12'
_symmetry_space_group_name_H-M 'P 1'
_symmetry_Int_Tables_number 1
_cell_length_a 7.763
_cell_length_b 7.763
_cell_length_c 8.349
_cell_angle_alpha 104.04
_cell_angle_beta 104.04
_cell_angle_gamma 46.67
loop_
_symmetry_equiv_pos_as_xyz
'x,y,z'
loop_
_atom_site_label
_atom_site_type_symbol
_atom_site_fract_x
_atom_site_fract_y
_atom_site_fract_z
_atom_site_occupancy
Hg1 Hg 0.215 0.785 0.000 1
Hg2 Hg 0.785 0.215 0.000 1
Pb1 Pb 0.178 0.178 0.353 1
Pb2 Pb 0.179 0.179 0.827 1
Pb3 Pb 0.500 0.500 0.500 1
Pb4 Pb 0.821 0.821 0.173 1
Pb5 Pb 0.822 0.822 0.647 1
F1 F 0.007 0.007 0.318 1
F2 F 0.059 0.565 0.886 1
F3 F 0.103 0.582 0.424 1
F4 F 0.418 0.897 0.576 1
F5 F 0.435 0.941 0.114 1
F6 F 0.493 0.493 0.191 1
F7 F 0.507 0.507 0.809 1
F8 F 0.565 0.059 0.886 1
F9 F 0.582 0.103 0.424 1
F10 F 0.897 0.418 0.576 1
F11 F 0.941 0.435 0.114 1
F12 F 0.993 0.993 0.682 1


# HgPbF2 PBE-GGA relaxed
# - formation energy from raw total energies (meV/atom) = -1409
# - excess energy over the best structure of this formula in the dataset (eV/atom) = 0.267
# - E_tot (eV per cell) = -13.389
# - symmetry = Fm-3m, No. 225
data_HgPbF2
_chemical_formula_sum 'Hg1 Pb1 F2'
_symmetry_space_group_name_H-M 'P 1'
_symmetry_Int_Tables_number 1
_cell_length_a 4.703
_cell_length_b 4.703
_cell_length_c 4.703
_cell_angle_alpha 60.00
_cell_angle_beta 60.00
_cell_angle_gamma 60.00
loop_
_symmetry_equiv_pos_as_xyz
'x,y,z'
loop_
_atom_site_label
_atom_site_type_symbol
_atom_site_fract_x
_atom_site_fract_y
_atom_site_fract_z
_atom_site_occupancy
Hg1 Hg 0.000 0.000 0.000 1
Pb1 Pb 0.500 0.500 0.500 1
F1 F 0.250 0.250 0.250 1
F2 F 0.750 0.750 0.750 1


# HgPb4F10 PBE-GGA relaxed
# - formation energy from raw total energies (meV/atom) = -2206
# - E_tot (eV per cell) = -66.945
# - symmetry = R-3m, No. 166
data_HgPb4F10
_chemical_formula_sum 'Hg1 Pb4 F10'
_symmetry_space_group_name_H-M 'P 1'
_symmetry_Int_Tables_number 1
_cell_length_a 17.139
_cell_length_b 17.139
_cell_length_c 17.139
_cell_angle_alpha 14.11
_cell_angle_beta 14.11
_cell_angle_gamma 14.11
loop_
_symmetry_equiv_pos_as_xyz
'x,y,z'
loop_
_atom_site_label
_atom_site_type_symbol
_atom_site_fract_x
_atom_site_fract_y
_atom_site_fract_z
_atom_site_occupancy
Hg1 Hg 0.000 0.000 0.000 1
Pb1 Pb 0.201 0.201 0.201 1
Pb2 Pb 0.397 0.397 0.397 1
Pb3 Pb 0.603 0.603 0.603 1
Pb4 Pb 0.799 0.799 0.799 1
F1 F 0.046 0.046 0.046 1
F2 F 0.150 0.150 0.150 1
F3 F 0.253 0.253 0.253 1
F4 F 0.348 0.348 0.348 1
F5 F 0.449 0.449 0.449 1
F6 F 0.551 0.551 0.551 1
F7 F 0.652 0.652 0.652 1
F8 F 0.747 0.747 0.747 1
F9 F 0.850 0.850 0.850 1
F10 F 0.954 0.954 0.954 1


# PmHgPbF6 PBE-GGA relaxed
# - formation energy from raw total energies (meV/atom) = -2698
# - E_tot (eV per cell) = -88.539
# - symmetry = P-31c, No. 163
data_PmHgPbF6
_chemical_formula_sum 'Pm2 Hg2 Pb2 F12'
_symmetry_space_group_name_H-M 'P 1'
_symmetry_Int_Tables_number 1
_cell_length_a 6.370
_cell_length_b 6.370
_cell_length_c 10.384
_cell_angle_alpha 90.00
_cell_angle_beta 90.00
_cell_angle_gamma 120.00
loop_
_symmetry_equiv_pos_as_xyz
'x,y,z'
loop_
_atom_site_label
_atom_site_type_symbol
_atom_site_fract_x
_atom_site_fract_y
_atom_site_fract_z
_atom_site_occupancy
Pm1 Pm 0.333 0.667 0.250 1
Pm2 Pm 0.667 0.333 0.750 1
Hg1 Hg 0.333 0.667 0.750 1
Hg2 Hg 0.667 0.333 0.250 1
Pb1 Pb 0.000 0.000 0.000 1
Pb2 Pb 0.000 0.000 0.500 1
F1 F 0.050 0.352 0.129 1
F2 F 0.050 0.698 0.371 1
F3 F 0.302 0.352 0.371 1
F4 F 0.302 0.950 0.129 1
F5 F 0.352 0.050 0.629 1
F6 F 0.352 0.302 0.871 1
F7 F 0.648 0.698 0.129 1
F8 F 0.648 0.950 0.371 1
F9 F 0.698 0.050 0.871 1
F10 F 0.698 0.648 0.629 1
F11 F 0.950 0.302 0.629 1
F12 F 0.950 0.648 0.871 1


# HgPt2PbF PBE-GGA relaxed
# - formation energy from raw total energies (meV/atom) = 265
# - E_tot (eV per cell) = -16.640
# - symmetry = P4/mmm, No. 123
data_HgPt2PbF
_chemical_formula_sum 'Hg1 Pt2 Pb1 F1'
_symmetry_space_group_name_H-M 'P 1'
_symmetry_Int_Tables_number 1
_cell_length_a 5.152
_cell_length_b 5.152
_cell_length_c 4.443
_cell_angle_alpha 90.00
_cell_angle_beta 90.00
_cell_angle_gamma 90.00
loop_
_symmetry_equiv_pos_as_xyz
'x,y,z'
loop_
_atom_site_label
_atom_site_type_symbol
_atom_site_fract_x
_atom_site_fract_y
_atom_site_fract_z
_atom_site_occupancy
Hg1 Hg 0.000 0.000 0.000 1
Pt1 Pt 0.000 0.500 0.000 1
Pt2 Pt 0.500 0.000 0.000 1
Pb1 Pb 0.500 0.500 0.500 1
F1 F 0.000 0.000 0.500 1


# Rb3Hg2PbF9 PBE-GGA relaxed
# - formation energy from raw total energies (meV/atom) = -2161
# - E_tot (eV per cell) = -56.473
# - symmetry = P-3m1, No. 164
data_Rb3Hg2PbF9
_chemical_formula_sum 'Rb3 Hg2 Pb1 F9'
_symmetry_space_group_name_H-M 'P 1'
_symmetry_Int_Tables_number 1
_cell_length_a 6.606
_cell_length_b 6.606
_cell_length_c 8.253
_cell_angle_alpha 90.00
_cell_angle_beta 90.00
_cell_angle_gamma 120.00
loop_
_symmetry_equiv_pos_as_xyz
'x,y,z'
loop_
_atom_site_label
_atom_site_type_symbol
_atom_site_fract_x
_atom_site_fract_y
_atom_site_fract_z
_atom_site_occupancy
Rb1 Rb 0.000 0.000 0.000 1
Rb2 Rb 0.333 0.667 0.708 1
Rb3 Rb 0.667 0.333 0.292 1
Hg1 Hg 0.333 0.667 0.166 1
Hg2 Hg 0.667 0.333 0.834 1
Pb1 Pb 0.000 0.000 0.500 1
F1 F 0.000 0.500 0.000 1
F2 F 0.165 0.329 0.319 1
F3 F 0.165 0.835 0.319 1
F4 F 0.329 0.165 0.681 1
F5 F 0.500 0.000 0.000 1
F6 F 0.500 0.500 0.000 1
F7 F 0.671 0.835 0.319 1
F8 F 0.835 0.165 0.681 1
F9 F 0.835 0.671 0.681 1


Copy entry 5 word for word.
# HgPt2PbF PBE-GGA relaxed
# - formation energy from raw total energies (meV/atom) = 265
# - E_tot (eV per cell) = -16.640
# - symmetry = P4/mmm, No. 123
data_HgPt2PbF
_chemical_formula_sum 'Hg1 Pt2 Pb1 F1'
_symmetry_space_group_name_H-M 'P 1'
_symmetry_Int_Tables_number 1
_cell_length_a 5.152
_cell_length_b 5.152
_cell_length_c 4.443
_cell_angle_alpha 90.00
_cell_angle_beta 90.00
_cell_angle_gamma 90.00
loop_
_symmetry_equiv_pos_as_xyz
'x,y,z'
loop_
_atom_site_label
_atom_site_type_symbol
_atom_site_fract_x
_atom_site_fract_y
_atom_site_fract_z
_atom_site_occupancy
Hg1 Hg 0.000 0.000 0.000 1
Pt1 Pt 0.000 0.500 0.000 1
Pt2 Pt 0.500 0.000 0.000 1
Pb1 Pb 0.500 0.500 0.500 1
F1 F 0.000 0.000 0.500 1


Which of these has the lowest E_tot?
PmHgPbF6